The following is a DFT calculation (PBE) of a relaxed TbHo2Tm4Mg crystal.

Properties
For the energy of formation from the pure elements, the calculation gives 0.02 eV per atom.

```
data_TbHo2Tm4Mg
_symmetry_space_group_name_H-M 'P 1'
_symmetry_Int_Tables_number 1
_symmetry_space_group_name_Hall 'P 1'
_cell_length_a 12.032
_cell_length_b 3.635
_cell_length_c 11.408
_cell_angle_alpha 90.00
_cell_angle_beta 107.41
_cell_angle_gamma 90.00
loop_
_atom_site_label
_atom_site_fract_x
_atom_site_fract_y
_atom_site_fract_z
Tb1 0.000 0.000 0.000
Tb2 0.500 0.500 0.000
Ho1 0.024 0.500 0.274
Ho2 0.476 0.000 0.726
Ho3 0.524 0.000 0.274
Ho4 0.976 0.500 0.726
Tm1 0.218 0.500 0.609
Tm2 0.236 0.000 0.867
Tm3 0.264 0.500 0.133
Tm4 0.282 0.000 0.391
Tm5 0.718 0.000 0.609
Tm6 0.736 0.500 0.867
Tm7 0.764 0.000 0.133
Tm8 0.782 0.500 0.391
Mg1 0.000 0.000 0.500
Mg2 0.500 0.500 0.500
```

---

The following is a DFT calculation (PBE) of a relaxed ThScS2 crystal.

Properties
Its energy above the most stable polymorph in this dataset is 6.7 kJ/mol of atoms. As for the raw formation energy: -1.759 eV/atom.

```
data_ThScS2
_symmetry_space_group_name_H-M 'P 1'
_symmetry_Int_Tables_number 1
_symmetry_space_group_name_Hall 'P 1'
_cell_length_a 3.758
_cell_length_b 3.758
_cell_length_c 20.615
_cell_angle_alpha 90.00
_cell_angle_beta 90.00
_cell_angle_gamma 120.00
loop_
_atom_site_label
_atom_site_fract_x
_atom_site_fract_y
_atom_site_fract_z
Th1 0.000 0.000 0.000
Th2 0.333 0.667 0.667
Th3 0.667 0.333 0.333
Sc1 0.000 0.000 0.173
Sc2 0.333 0.667 0.840
Sc3 0.667 0.333 0.507
S1 0.000 0.000 0.575
S2 0.000 0.000 0.763
S3 0.333 0.667 0.242
S4 0.333 0.667 0.430
S5 0.667 0.333 0.097
S6 0.667 0.333 0.909
```

---

The following is a DFT calculation (PBE) of a relaxed Tm3SiB2Rh9 crystal.

Properties
As for the raw formation energy: -0.793 eV/atom.

```
data_Tm3SiB2Rh9
_symmetry_space_group_name_H-M 'P 1'
_symmetry_Int_Tables_number 1
_symmetry_space_group_name_Hall 'P 1'
_cell_length_a 6.031
_cell_length_b 6.031
_cell_length_c 7.409
_cell_angle_alpha 90.00
_cell_angle_beta 90.00
_cell_angle_gamma 120.00
loop_
_atom_site_label
_atom_site_fract_x
_atom_site_fract_y
_atom_site_fract_z
Tm1 0.000 0.000 0.000
Tm2 0.333 0.667 0.666
Tm3 0.667 0.333 0.334
Si1 0.000 0.000 0.500
B1 0.333 0.667 0.151
B2 0.667 0.333 0.849
Rh1 0.000 0.500 0.000
Rh2 0.175 0.350 0.321
Rh3 0.175 0.825 0.321
Rh4 0.350 0.175 0.679
Rh5 0.500 0.000 0.000
Rh6 0.500 0.500 0.000
Rh7 0.650 0.825 0.321
Rh8 0.825 0.175 0.679
Rh9 0.825 0.650 0.679
```

---

The following is a DFT calculation (PBE) of a relaxed LiCu3Ni3 crystal.

Properties
For the energy of formation from the pure elements, the calculation gives 0.16 eV per atom.

```
data_LiCu3Ni3
_symmetry_space_group_name_H-M 'P 1'
_symmetry_Int_Tables_number 1
_symmetry_space_group_name_Hall 'P 1'
_cell_length_a 4.847
_cell_length_b 4.847
_cell_length_c 4.847
_cell_angle_alpha 109.53
_cell_angle_beta 109.53
_cell_angle_gamma 109.53
loop_
_atom_site_label
_atom_site_fract_x
_atom_site_fract_y
_atom_site_fract_z
Li1 0.000 0.000 0.000
Cu1 0.494 0.494 0.994
Cu2 0.494 0.994 0.494
Cu3 0.994 0.494 0.494
Ni1 0.495 0.994 0.994
Ni2 0.994 0.495 0.994
Ni3 0.994 0.994 0.495
```

---

The following is a DFT calculation (PBE) of a relaxed Tc8HN2 crystal.

```
data_Tc8HN2
_symmetry_space_group_name_H-M 'P 1'
_symmetry_Int_Tables_number 1
_symmetry_space_group_name_Hall 'P 1'
_cell_length_a 5.649
_cell_length_b 5.649
_cell_length_c 4.994
_cell_angle_alpha 90.06
_cell_angle_beta 90.06
_cell_angle_gamma 60.02
loop_
_atom_site_label
_atom_site_fract_x
_atom_site_fract_y
_atom_site_fract_z
Tc1 0.162 0.162 0.717
Tc2 0.162 0.677 0.717
Tc3 0.323 0.838 0.283
Tc4 0.333 0.333 0.310
Tc5 0.667 0.667 0.690
Tc6 0.677 0.162 0.717
Tc7 0.838 0.323 0.283
Tc8 0.838 0.838 0.283
H1 0.000 0.000 0.000
N1 0.334 0.334 0.926
N2 0.666 0.666 0.074
```

---

The following is a DFT calculation (PBE) of a relaxed Bi2Te2Br crystal.

Properties
Its energy above the most stable polymorph in this dataset is 0.0 kJ/mol of atoms. As for the raw formation energy: -0.183 eV/atom.

```
data_Bi2Te2Br
_symmetry_space_group_name_H-M 'P 1'
_symmetry_Int_Tables_number 1
_symmetry_space_group_name_Hall 'P 1'
_cell_length_a 8.741
_cell_length_b 8.741
_cell_length_c 8.741
_cell_angle_alpha 113.85
_cell_angle_beta 113.85
_cell_angle_gamma 101.04
loop_
_atom_site_label
_atom_site_fract_x
_atom_site_fract_y
_atom_site_fract_z
Bi1 0.332 0.000 0.332
Bi2 0.668 0.000 0.668
Bi3 0.750 0.582 0.832
Bi4 0.750 0.918 0.168
Te1 0.028 0.741 0.287
Te2 0.454 0.741 0.713
Te3 0.491 0.278 0.787
Te4 0.491 0.704 0.213
Br1 0.019 0.019 0.000
Br2 0.769 0.269 0.500
```

---

The following is a DFT calculation (PBE) of a relaxed CrSn crystal.

Properties
For the energy of formation from the pure elements, the calculation gives 0.16 eV per atom.

```
data_CrSn
_symmetry_space_group_name_H-M 'P 1'
_symmetry_Int_Tables_number 1
_symmetry_space_group_name_Hall 'P 1'
_cell_length_a 3.055
_cell_length_b 3.055
_cell_length_c 15.303
_cell_angle_alpha 90.00
_cell_angle_beta 90.00
_cell_angle_gamma 90.00
loop_
_atom_site_label
_atom_site_fract_x
_atom_site_fract_y
_atom_site_fract_z
Cr1 0.000 0.000 0.210
Cr2 0.000 0.000 0.790
Cr3 0.500 0.500 0.290
Cr4 0.500 0.500 0.710
Sn1 0.000 0.000 0.404
Sn2 0.000 0.000 0.596
Sn3 0.500 0.500 0.096
Sn4 0.500 0.500 0.904
```

---

The following is a DFT calculation (PBE) of a relaxed Sr6AlHg2 crystal.

Properties
For the energy of formation from the pure elements, the calculation gives -0.28 eV per atom.

```
data_Sr6AlHg2
_symmetry_space_group_name_H-M 'P 1'
_symmetry_Int_Tables_number 1
_symmetry_space_group_name_Hall 'P 1'
_cell_length_a 11.156
_cell_length_b 9.017
_cell_length_c 7.709
_cell_angle_alpha 83.27
_cell_angle_beta 53.39
_cell_angle_gamma 43.34
loop_
_atom_site_label
_atom_site_fract_x
_atom_site_fract_y
_atom_site_fract_z
Sr1 0.032 0.300 0.700
Sr2 0.300 0.032 0.968
Sr3 0.365 0.635 0.365
Sr4 0.635 0.365 0.635
Sr5 0.700 0.968 0.032
Sr6 0.968 0.700 0.300
Al1 0.000 0.000 0.000
Hg1 0.337 0.337 0.663
Hg2 0.663 0.663 0.337
```

---

The following is a DFT calculation (PBE) of a relaxed Sc2TcHg crystal.

Properties
For the energy of formation from the pure elements, the calculation gives -0.05 eV per atom.

```
data_Sc2TcHg
_symmetry_space_group_name_H-M 'P 1'
_symmetry_Int_Tables_number 1
_symmetry_space_group_name_Hall 'P 1'
_cell_length_a 3.642
_cell_length_b 3.642
_cell_length_c 5.999
_cell_angle_alpha 90.00
_cell_angle_beta 90.00
_cell_angle_gamma 90.00
loop_
_atom_site_label
_atom_site_fract_x
_atom_site_fract_y
_atom_site_fract_z
Sc1 0.000 0.000 0.000
Sc2 0.500 0.500 0.303
Tc1 0.000 0.000 0.467
Hg1 0.500 0.500 0.769
```

---

The following is a DFT calculation (PBE) of a relaxed La5TmCd6 crystal.

Properties
For the energy of formation from the pure elements, the calculation gives -0.32 eV per atom.

```
data_La5TmCd6
_symmetry_space_group_name_H-M 'P 1'
_symmetry_Int_Tables_number 1
_symmetry_space_group_name_Hall 'P 1'
_cell_length_a 8.725
_cell_length_b 8.725
_cell_length_c 7.824
_cell_angle_alpha 90.00
_cell_angle_beta 90.00
_cell_angle_gamma 143.35
loop_
_atom_site_label
_atom_site_fract_x
_atom_site_fract_y
_atom_site_fract_z
La1 0.000 0.000 0.000
La2 0.328 0.672 0.000
La3 0.334 0.666 0.500
La4 0.666 0.334 0.500
La5 0.672 0.328 0.000
Tm1 0.000 0.000 0.500
Cd1 0.160 0.840 0.259
Cd2 0.160 0.840 0.741
Cd3 0.500 0.500 0.260
Cd4 0.500 0.500 0.740
Cd5 0.840 0.160 0.259
Cd6 0.840 0.160 0.741
```

---

The following is a DFT calculation (PBE) of a relaxed Sn2GeCl crystal.

Properties
Its energy above the most stable polymorph in this dataset is 10.3 kJ/mol of atoms. As for the raw formation energy: -0.074 eV/atom.

```
data_Sn2GeCl
_symmetry_space_group_name_H-M 'P 1'
_symmetry_Int_Tables_number 1
_symmetry_space_group_name_Hall 'P 1'
_cell_length_a 7.231
_cell_length_b 7.231
_cell_length_c 7.231
_cell_angle_alpha 90.00
_cell_angle_beta 90.00
_cell_angle_gamma 90.00
loop_
_atom_site_label
_atom_site_fract_x
_atom_site_fract_y
_atom_site_fract_z
Sn1 0.250 0.250 0.250
Sn2 0.250 0.250 0.750
Sn3 0.250 0.750 0.250
Sn4 0.250 0.750 0.750
Sn5 0.750 0.250 0.250
Sn6 0.750 0.250 0.750
Sn7 0.750 0.750 0.250
Sn8 0.750 0.750 0.750
Ge1 0.000 0.000 0.000
Ge2 0.000 0.500 0.500
Ge3 0.500 0.000 0.500
Ge4 0.500 0.500 0.000
Cl1 0.000 0.000 0.500
Cl2 0.000 0.500 0.000
Cl3 0.500 0.000 0.000
Cl4 0.500 0.500 0.500
```

---

The following is a DFT calculation (PBE) of a relaxed AcCeSbBr crystal.

Properties
As for the raw formation energy: -1.061 eV/atom.

```
data_AcCeSbBr
_symmetry_space_group_name_H-M 'P 1'
_symmetry_Int_Tables_number 1
_symmetry_space_group_name_Hall 'P 1'
_cell_length_a 7.861
_cell_length_b 7.861
_cell_length_c 7.861
_cell_angle_alpha 90.00
_cell_angle_beta 90.00
_cell_angle_gamma 90.00
loop_
_atom_site_label
_atom_site_fract_x
_atom_site_fract_y
_atom_site_fract_z
Ac1 0.000 0.000 0.000
Ac2 0.000 0.500 0.500
Ac3 0.500 0.000 0.500
Ac4 0.500 0.500 0.000
Ce1 0.000 0.000 0.500
Ce2 0.000 0.500 0.000
Ce3 0.500 0.000 0.000
Ce4 0.500 0.500 0.500
Sb1 0.250 0.250 0.750
Sb2 0.250 0.750 0.250
Sb3 0.750 0.250 0.250
Sb4 0.750 0.750 0.750
Br1 0.250 0.250 0.250
Br2 0.250 0.750 0.750
Br3 0.750 0.250 0.750
Br4 0.750 0.750 0.250
```

---

The total energy results, record by record, are as follows: -4.139, -7.261, -7.350, -4.343, -9.308, -3.326, -6.656, -1.887, -5.884, -3.201, -3.692, -5.020 eV/atom.